Entry 1:
NaMnO4 | SCAN | PBEsol geometry

The space group is Cmcm (No. 63) and the conventional cell measures 5.664, 8.935 and 7.295 Å, with angles of 90.00, 90.00 and 90.00 degrees. The inequivalent atoms are Na at (0.000, 0.000, 0.000), Mn at (0.000, 0.360, 0.250), O at (0.000, 0.258, 0.071) and O at (0.233, 0.465, 0.250).

Its theoretical density is 2.55 g/cm3. Its total magnetization is 0.00 μB/f.u. Its total energy is -9.41 eV per atom.


Entry 2:
InFeOs2 | SCAN | PBEsol geometry

The space group is P4/mmm (No. 123) and the conventional cell measures 2.940, 2.940 and 6.746 Å, with angles of 90.00, 90.00 and 90.00 degrees. The inequivalent atoms are In at (0.000, 0.000, 0.000), Fe at (0.000, 0.000, 0.500) and Os at (0.500, 0.500, 0.291).

The value obtained for the formation energy is 322 meV per atom. Its theoretical density is 15.69 g/cm3. Its total magnetization is 2.92 μB/f.u.


Entry 3:
Nb5SnSe8 | SCAN | PBEsol geometry

The space group is C2/m (No. 12) and the conventional cell measures 18.385, 3.388 and 9.232 Å, with angles of 90.00, 102.89 and 90.00 degrees. The inequivalent atoms are Nb at (0.000, 0.000, 0.000), Nb at (0.141, 0.500, 0.000), Nb at (0.212, 0.500, 0.368), Sn at (0.000, 0.500, 0.500), Se at (0.069, 0.500, 0.204), Se at (0.084, 0.000, 0.803), Se at (0.150, 0.000, 0.512) and Se at (0.243, 0.000, 0.159).

Its theoretical density is 7.20 g/cm3. Its total magnetization is 0.00 μB/f.u. Its total energy is -26.66 eV per atom.